First-principles (GGA+U) data for a relaxed structure of Li3Fe3P4O16, as listed in Alexandria via LeMat-Bulk.

Cell lengths 8.255, 9.357, 10.089 Å; angles 102.28, 101.54, 108.12 degrees
Space group P-1 (No. 2)
Unique sites:
Li1 0.070 0.341 0.233 (multiplicity 2)
Li2 0.080 0.934 0.648 (multiplicity 2)
Li3 0.082 0.977 0.127 (multiplicity 2)
Fe1 0.271 0.530 0.846 (multiplicity 2)
Fe2 0.413 0.690 0.455 (multiplicity 2)
Fe3 0.495 0.072 0.756 (multiplicity 2)
P1 0.209 0.393 0.538 (multiplicity 2)
P2 0.222 0.879 0.926 (multiplicity 2)
P3 0.277 0.982 0.411 (multiplicity 2)
P4 0.370 0.535 0.145 (multiplicity 2)
O1 0.031 0.875 0.915 (multiplicity 2)
O2 0.059 0.291 0.405 (multiplicity 2)
O3 0.099 0.971 0.323 (multiplicity 2)
O4 0.144 0.377 0.671 (multiplicity 2)
O5 0.203 0.706 0.860 (multiplicity 2)
O6 0.219 0.462 0.003 (multiplicity 2)
O7 0.271 0.573 0.549 (multiplicity 2)
O8 0.281 0.520 0.266 (multiplicity 2)
O9 0.290 0.016 0.571 (multiplicity 2)
O10 0.298 0.978 0.831 (multiplicity 2)
O11 0.317 0.828 0.355 (multiplicity 2)
O12 0.328 0.945 0.085 (multiplicity 2)
O13 0.374 0.346 0.545 (multiplicity 2)
O14 0.438 0.105 0.382 (multiplicity 2)
O15 0.480 0.710 0.164 (multiplicity 2)
O16 0.489 0.436 0.142 (multiplicity 2)

Properties
Energy relative to the lowest polymorph listed for this composition = 31.2 meV/atom
Calculated volume = 13.33 Å³/atom
DFT total energy = -6.8176 eV per atom